1.
## LiHoBi2S4 (GGA-PBE)

Data for crystalline LiHoBi2S4 at its relaxed geometry.

As for the uncorrected energy: -37.86 eV for the cell shown. The calculation puts the formation energy (no corrections) at -86 kJ per mole of atoms.

The structure belongs to space group P2/m (No. 10); the cell edges are 6.729, 3.849 and 7.677 Å and the angles 90.00°, 109.20° and 90.00°. The asymmetric unit holds Li at (0.000, 0.000, 0.000), Ho at (0.500, 0.500, 0.000), Bi at (0.000, 0.000, 0.500), Bi at (0.500, 0.500, 0.500), S at (0.093, 0.500, 0.785) and S at (0.392, 0.000, 0.206).

2.
## LiHoBi2S5 (GGA-PBE)

Data for crystalline LiHoBi2S5 at its relaxed geometry.

As for the uncorrected energy: -174.58 eV for the cell shown. The calculation puts the formation energy (no corrections) at -94 kJ per mole of atoms.

The structure belongs to space group Cmc2_1 (No. 36); the cell edges are 3.982, 17.710 and 12.872 Å and the angles 90.00°, 90.00° and 90.00°. The asymmetric unit holds Li at (0.000, 0.004, 0.000), Ho at (0.000, 0.291, 0.003), Bi at (0.000, 0.350, 0.705), Bi at (0.000, 0.406, 0.252), S at (0.000, 0.000, 0.304), S at (0.000, 0.139, 0.059), S at (0.000, 0.208, 0.654), S at (0.000, 0.209, 0.362) and S at (0.000, 0.439, 0.058).

3.
## Li4Ho3BiSe8 (GGA-PBE)

Data for crystalline Li4Ho3BiSe8 at its relaxed geometry.

As for the uncorrected energy: -229.02 eV for the cell shown. The calculation puts the formation energy (no corrections) at -140 kJ per mole of atoms.

The structure belongs to space group R-3m (No. 166, hexagonal axes); the cell edges are 8.1634, 8.1634 and 19.5584 Å and the angles 90.00°, 90.00° and 120.00°. The asymmetric unit holds Li at (0.0000, 0.0000, 0.0000), Li at (0.0000, 0.5000, 0.0000), Ho at (0.0000, 0.5000, 0.5000), Bi at (0.0000, 0.0000, 0.5000), Se at (0.0000, 0.0000, 0.2500) and Se at (0.0064, 0.5032, 0.7480).

4.
## LiSmHoBi (GGA-PBE)

Data for crystalline LiSmHoBi at its relaxed geometry.

The value obtained for the energy of formation is -1.25 eV per formula unit. As for the uncorrected energy: -65.36 eV for the cell shown.

The structure belongs to space group F-43m (No. 216); the cell edges are 7.556, 7.556 and 7.556 Å and the angles 90.00°, 90.00° and 90.00°. The asymmetric unit holds Li at (0.000, 0.000, 0.000), Sm at (0.250, 0.250, 0.750), Ho at (0.250, 0.250, 0.250) and Bi at (0.000, 0.000, 0.500).

5.
## Sr2Li3HoBi4 (GGA-PBE)

Data for crystalline Sr2Li3HoBi4 at its relaxed geometry.

The value obtained for the energy of formation is -6.62 eV per formula unit. As for the uncorrected energy: -35.82 eV for the cell shown.

The structure belongs to space group P-4m2 (No. 115); the cell edges are 4.952, 4.952 and 12.049 Å and the angles 90.00°, 90.00° and 90.00°. The asymmetric unit holds Sr at (0.000, 0.500, 0.221), Li at (0.000, 0.500, 0.879), Li at (0.500, 0.500, 0.500), Ho at (0.000, 0.000, 0.500), Bi at (0.000, 0.000, 0.000), Bi at (0.000, 0.500, 0.650) and Bi at (0.500, 0.500, 0.000).

6.
## LiTbHoBi (GGA-PBE)

Data for crystalline LiTbHoBi at its relaxed geometry.

The value obtained for the energy of formation is -1.16 eV per formula unit. As for the uncorrected energy: -64.66 eV for the cell shown.

The structure belongs to space group F-43m (No. 216); the cell edges are 7.503, 7.503 and 7.503 Å and the angles 90.00°, 90.00° and 90.00°. The asymmetric unit holds Li at (0.000, 0.000, 0.000), Tb at (0.250, 0.250, 0.750), Ho at (0.250, 0.250, 0.250) and Bi at (0.000, 0.000, 0.500).

7.
## Li3Ho2BiTe6 (GGA-PBE)

Data for crystalline Li3Ho2BiTe6 at its relaxed geometry.

As for the uncorrected energy: -99.85 eV for the cell shown. The calculation puts the formation energy (no corrections) at -99 kJ per mole of atoms.

The structure belongs to space group C2/m (No. 12); the cell edges are 7.560, 13.108 and 7.497 Å and the angles 90.00°, 109.68° and 90.00°. The asymmetric unit holds Li at (0.000, 0.000, 0.000), Li at (0.000, 0.342, 0.000), Ho at (0.000, 0.168, 0.500), Bi at (0.000, 0.500, 0.500), Te at (0.245, 0.169, 0.243) and Te at (0.246, 0.000, 0.755).

8.
## Li2HoBiTe4 (GGA-PBE)

Data for crystalline Li2HoBiTe4 at its relaxed geometry.

As for the uncorrected energy: -32.02 eV for the cell shown. The calculation puts the formation energy (no corrections) at -86 kJ per mole of atoms.

The structure belongs to space group P2/m (No. 10); the cell edges are 7.508, 4.376 and 7.603 Å and the angles 90.00°, 109.74° and 90.00°. The asymmetric unit holds Li at (0.000, 0.000, 0.000), Li at (0.000, 0.500, 0.500), Ho at (0.500, 0.000, 0.500), Bi at (0.500, 0.500, 0.000), Te at (0.239, 0.000, 0.741) and Te at (0.245, 0.500, 0.252).